Entry a
# LiLuPt2, optimized geometry, DFT GGA-PBE
data_LiLuPt2
_cell_length_a 6.5126
_cell_length_b 6.5126
_cell_length_c 6.5126
_cell_angle_alpha 90.00
_cell_angle_beta 90.00
_cell_angle_gamma 90.00
_space_group_name_H-M_alt 'F m -3 m'
_space_group_IT_number 225
_space_group_name_Hall '-F 4 2 3'
loop_
_atom_site_label
_atom_site_fract_x
_atom_site_fract_y
_atom_site_fract_z
Li1 0.0000 0.0000 0.0000
Lu1 0.0000 0.0000 0.5000
Pt1 0.2500 0.2500 0.2500
# **N(E_F)**: 10.03 states/eV/cell

***

Entry b
# LiLuPt2, optimized geometry, DFT GGA-PBE
data_LiLuPt2
_cell_length_a 3.4116
_cell_length_b 3.4116
_cell_length_c 5.8346
_cell_angle_alpha 90.00
_cell_angle_beta 90.00
_cell_angle_gamma 90.00
_space_group_name_H-M_alt 'P 4/m m m'
_space_group_IT_number 123
_space_group_name_Hall '-P 4 2'
loop_
_atom_site_label
_atom_site_fract_x
_atom_site_fract_y
_atom_site_fract_z
Li1 0.0000 0.0000 0.0000
Lu1 0.0000 0.0000 0.5000
Pt1 0.5000 0.5000 0.2348
# **N(E_F)**: 0.83 states/eV/cell

***

The structure with the most favorable energy is entry b; the runner-up is 48 meV per atom above it.

***

Entry a
# LiLu2Pu, optimized geometry, DFT GGA-PBE
data_LiLu2Pu
_cell_length_a 3.3414
_cell_length_b 3.3414
_cell_length_c 35.0088
_cell_angle_alpha 90.00
_cell_angle_beta 90.00
_cell_angle_gamma 120.00
_space_group_name_H-M_alt 'R -3 m'
_space_group_IT_number 166
_space_group_name_Hall '-R 3 2"'
loop_
_atom_site_label
_atom_site_fract_x
_atom_site_fract_y
_atom_site_fract_z
Li1 0.0000 0.0000 0.0000
Lu1 0.0000 0.0000 0.0893
Pu1 0.0000 0.0000 0.5000
# **N(E_F)**: 30.72 states/eV/cell

***

Entry b
# LiLu2Pu, optimized geometry, DFT GGA-PBE
data_LiLu2Pu
_cell_length_a 5.4643
_cell_length_b 5.4643
_cell_length_c 3.4972
_cell_angle_alpha 90.00
_cell_angle_beta 90.00
_cell_angle_gamma 90.00
_space_group_name_H-M_alt 'P 4/m m m'
_space_group_IT_number 123
_space_group_name_Hall '-P 4 2'
loop_
_atom_site_label
_atom_site_fract_x
_atom_site_fract_y
_atom_site_fract_z
Li1 0.0000 0.0000 0.0000
Lu1 0.0000 0.5000 0.5000
Pu1 0.5000 0.5000 0.0000
# **N(E_F)**: 9.02 states/eV/cell

***

The structure with the most favorable energy is entry b; the runner-up is 43 meV per atom above it.

***

Entry a
# LiLuPu, optimized geometry, DFT GGA-PBE
data_LiLuPu
_cell_length_a 3.2895
_cell_length_b 3.2895
_cell_length_c 14.3399
_cell_angle_alpha 90.00
_cell_angle_beta 90.00
_cell_angle_gamma 90.00
_space_group_name_H-M_alt 'I 4 m m'
_space_group_IT_number 107
_space_group_name_Hall 'I 4 -2'
loop_
_atom_site_label
_atom_site_fract_x
_atom_site_fract_y
_atom_site_fract_z
Li1 0.0000 0.0000 0.0000
Lu1 0.0000 0.0000 0.3372
Pu1 0.0000 0.0000 0.6626
# **N(E_F)**: 16.62 states/eV/cell

***

Entry b
# LiLuPu, optimized geometry, DFT GGA-PBE
data_LiLuPu
_cell_length_a 3.3214
_cell_length_b 3.3214
_cell_length_c 8.2600
_cell_angle_alpha 90.00
_cell_angle_beta 90.00
_cell_angle_gamma 120.00
_space_group_name_H-M_alt 'P 3 m 1'
_space_group_IT_number 156
loop_
_space_group_symop_operation_xyz
'x,y,z'
'-y,x-y,z'
'-x+y,-x,z'
'-y,-x,z'
'-x+y,y,z'
'x,x-y,z'
loop_
_atom_site_label
_atom_site_fract_x
_atom_site_fract_y
_atom_site_fract_z
Li1 0.0000 0.0000 0.0000
Lu1 0.3333 0.6667 0.6704
Pu1 0.6667 0.3333 0.3327
# **N(E_F)**: 9.06 states/eV/cell

***

The structure with the most favorable energy is entry b; the runner-up is 12 meV per atom above it.

***

Entry a
# LiLuSc2, optimized geometry, DFT GGA-PBE
data_LiLuSc2
_cell_length_a 5.1734
_cell_length_b 5.1734
_cell_length_c 3.6824
_cell_angle_alpha 90.00
_cell_angle_beta 90.00
_cell_angle_gamma 90.00
_space_group_name_H-M_alt 'P 4/m m m'
_space_group_IT_number 123
_space_group_name_Hall '-P 4 2'
loop_
_atom_site_label
_atom_site_fract_x
_atom_site_fract_y
_atom_site_fract_z
Li1 0.0000 0.0000 0.0000
Lu1 0.5000 0.5000 0.0000
Sc1 0.0000 0.5000 0.5000
# **N(E_F)**: 6.25 states/eV/cell

***

Entry b
# LiLuSc2, optimized geometry, DFT GGA-PBE
data_LiLuSc2
_cell_length_a 3.2449
_cell_length_b 3.2449
_cell_length_c 34.4826
_cell_angle_alpha 90.00
_cell_angle_beta 90.00
_cell_angle_gamma 120.00
_space_group_name_H-M_alt 'R -3 m'
_space_group_IT_number 166
_space_group_name_Hall '-R 3 2"'
loop_
_atom_site_label
_atom_site_fract_x
_atom_site_fract_y
_atom_site_fract_z
Li1 0.0000 0.0000 0.0000
Lu1 0.0000 0.0000 0.5000
Sc1 0.0000 0.0000 0.0880
# **N(E_F)**: 18.01 states/eV/cell

***

The structure with the most favorable energy is entry b; the runner-up is 5 meV per atom above it.

***

Entry a
# LiSmLu2, optimized geometry, DFT GGA-PBE
data_LiSmLu2
_cell_length_a 3.4351
_cell_length_b 3.4351
_cell_length_c 35.9300
_cell_angle_alpha 90.00
_cell_angle_beta 90.00
_cell_angle_gamma 120.00
_space_group_name_H-M_alt 'R -3 m'
_space_group_IT_number 166
_space_group_name_Hall '-R 3 2"'
loop_
_atom_site_label
_atom_site_fract_x
_atom_site_fract_y
_atom_site_fract_z
Li1 0.0000 0.0000 0.0000
Sm1 0.0000 0.0000 0.5000
Lu1 0.0000 0.0000 0.0879
# **N(E_F)**: 16.09 states/eV/cell

***

Entry b
# LiSmLu2, optimized geometry, DFT GGA-PBE
data_LiSmLu2
_cell_length_a 3.5714
_cell_length_b 3.5714
_cell_length_c 8.7284
_cell_angle_alpha 90.00
_cell_angle_beta 90.00
_cell_angle_gamma 90.00
_space_group_name_H-M_alt 'P 4/m m m'
_space_group_IT_number 123
_space_group_name_Hall '-P 4 2'
loop_
_atom_site_label
_atom_site_fract_x
_atom_site_fract_y
_atom_site_fract_z
Li1 0.0000 0.0000 0.0000
Sm1 0.0000 0.0000 0.5000
Lu1 0.5000 0.5000 0.2171
# **N(E_F)**: 4.81 states/eV/cell

***

Entry c
# LiSmLu2, optimized geometry, DFT GGA-PBE
data_LiSmLu2
_cell_length_a 5.5445
_cell_length_b 5.5445
_cell_length_c 3.7066
_cell_angle_alpha 90.00
_cell_angle_beta 90.00
_cell_angle_gamma 90.00
_space_group_name_H-M_alt 'P 4/m m m'
_space_group_IT_number 123
_space_group_name_Hall '-P 4 2'
loop_
_atom_site_label
_atom_site_fract_x
_atom_site_fract_y
_atom_site_fract_z
Li1 0.0000 0.0000 0.0000
Sm1 0.5000 0.5000 0.0000
Lu1 0.0000 0.5000 0.5000
# **N(E_F)**: 5.63 states/eV/cell

***

The structure with the most favorable energy is entry b; the runner-up is 115 meV per atom above it.

***

Entry a
# LiSm2Lu, optimized geometry, DFT GGA-PBE
data_LiSm2Lu
_cell_length_a 3.6264
_cell_length_b 3.6264
_cell_length_c 8.9369
_cell_angle_alpha 90.00
_cell_angle_beta 90.00
_cell_angle_gamma 90.00
_space_group_name_H-M_alt 'P 4/m m m'
_space_group_IT_number 123
_space_group_name_Hall '-P 4 2'
loop_
_atom_site_label
_atom_site_fract_x
_atom_site_fract_y
_atom_site_fract_z
Li1 0.0000 0.0000 0.0000
Sm1 0.5000 0.5000 0.2312
Lu1 0.0000 0.0000 0.5000
# **N(E_F)**: 5.75 states/eV/cell

***

Entry b
# LiSm2Lu, optimized geometry, DFT GGA-PBE
data_LiSm2Lu
_cell_length_a 7.7813
_cell_length_b 7.7813
_cell_length_c 7.7813
_cell_angle_alpha 90.00
_cell_angle_beta 90.00
_cell_angle_gamma 90.00
_space_group_name_H-M_alt 'F m -3 m'
_space_group_IT_number 225
_space_group_name_Hall '-F 4 2 3'
loop_
_atom_site_label
_atom_site_fract_x
_atom_site_fract_y
_atom_site_fract_z
Li1 0.0000 0.0000 0.0000
Sm1 0.2500 0.2500 0.2500
Lu1 0.0000 0.0000 0.5000
# **N(E_F)**: 16.80 states/eV/cell

***

The structure with the most favorable energy is entry a; the runner-up is 76 meV per atom above it.

***

Entry a
# LiTb2Lu, optimized geometry, DFT GGA-PBE
data_LiTb2Lu
_cell_length_a 3.4377
_cell_length_b 3.4377
_cell_length_c 36.2211
_cell_angle_alpha 90.00
_cell_angle_beta 90.00
_cell_angle_gamma 120.00
_space_group_name_H-M_alt 'R -3 m'
_space_group_IT_number 166
_space_group_name_Hall '-R 3 2"'
loop_
_atom_site_label
_atom_site_fract_x
_atom_site_fract_y
_atom_site_fract_z
Li1 0.0000 0.0000 0.0000
Tb1 0.0000 0.0000 0.0895
Lu1 0.0000 0.0000 0.5000
# **N(E_F)**: 15.36 states/eV/cell

***

Entry b
# LiTb2Lu, optimized geometry, DFT GGA-PBE
data_LiTb2Lu
_cell_length_a 3.5852
_cell_length_b 3.5852
_cell_length_c 8.7973
_cell_angle_alpha 90.00
_cell_angle_beta 90.00
_cell_angle_gamma 90.00
_space_group_name_H-M_alt 'P 4/m m m'
_space_group_IT_number 123
_space_group_name_Hall '-P 4 2'
loop_
_atom_site_label
_atom_site_fract_x
_atom_site_fract_y
_atom_site_fract_z
Li1 0.0000 0.0000 0.0000
Tb1 0.5000 0.5000 0.2290
Lu1 0.0000 0.0000 0.5000
# **N(E_F)**: 5.62 states/eV/cell

***

The structure with the most favorable energy is entry b; the runner-up is 94 meV per atom above it.

***

Entry a
# LiLuTh, optimized geometry, DFT GGA-PBE
data_LiLuTh
_cell_length_a 3.5990
_cell_length_b 3.5990
_cell_length_c 12.5530
_cell_angle_alpha 90.00
_cell_angle_beta 90.00
_cell_angle_gamma 90.00
_space_group_name_H-M_alt 'I 4 m m'
_space_group_IT_number 107
_space_group_name_Hall 'I 4 -2'
loop_
_atom_site_label
_atom_site_fract_x
_atom_site_fract_y
_atom_site_fract_z
Li1 0.0000 0.0000 0.0000
Lu1 0.0000 0.0000 0.6496
Th1 0.0000 0.0000 0.3334
# **N(E_F)**: 6.02 states/eV/cell

***

Entry b
# LiLuTh, optimized geometry, DFT GGA-PBE
data_LiLuTh
_cell_length_a 3.4424
_cell_length_b 3.4424
_cell_length_c 8.4233
_cell_angle_alpha 90.00
_cell_angle_beta 90.00
_cell_angle_gamma 120.00
_space_group_name_H-M_alt 'P 3 m 1'
_space_group_IT_number 156
loop_
_space_group_symop_operation_xyz
'x,y,z'
'-y,x-y,z'
'-x+y,-x,z'
'-y,-x,z'
'-x+y,y,z'
'x,x-y,z'
loop_
_atom_site_label
_atom_site_fract_x
_atom_site_fract_y
_atom_site_fract_z
Li1 0.0000 0.0000 0.0000
Lu1 0.6667 0.3333 0.3243
Th1 0.3333 0.6667 0.6580
# **N(E_F)**: 2.80 states/eV/cell

***

The structure with the most favorable energy is entry a; the runner-up is 22 meV per atom above it.